PBE Nb2ZnOs, relaxed; total energy = -32.94 eV/f.u.; energy of formation = -0.0735 eV/atom; spin magnetization = 0.00 μB/f.u.
1.0
4.051 0.000 0.000
0.000 4.051 0.000
0.000 0.000 3.928
Nb Zn Os
2 1 1
Cartesian
0.000 2.025 0.000 Nb
2.025 0.000 0.000 Nb
0.000 0.000 1.964 Zn
2.025 2.025 1.964 Os

---

PBE HfThRh2, relaxed; total energy = -35.27 eV/f.u.; energy of formation = -0.7988 eV/atom; spin magnetization = 0.00 μB/f.u.
1.0
4.424 0.000 0.000
-2.212 3.831 0.000
0.000 0.000 14.996
Hf Th Rh
3 3 6
Cartesian
0.000 0.000 0.000 Hf
0.000 2.554 9.997 Hf
2.212 1.277 4.999 Hf
0.000 0.000 7.498 Th
0.000 2.554 2.499 Th
2.212 1.277 12.497 Th
0.000 0.000 4.162 Rh
0.000 0.000 10.835 Rh
0.000 2.554 5.836 Rh
0.000 2.554 14.159 Rh
2.212 1.277 0.837 Rh
2.212 1.277 9.160 Rh

---

PBE AlCoTe2, relaxed; total energy = -15.91 eV/f.u.; formation energy without anion corrections = 1.2 eV/f.u.; spin magnetization = 1.31 μB/f.u.
1.0
3.815 0.000 0.000
0.000 6.390 0.000
0.000 0.000 7.742
Al Co Te
2 2 4
Cartesian
0.000 0.000 0.000 Al
1.907 3.195 3.871 Al
0.000 0.000 3.871 Co
1.907 3.195 0.000 Co
0.000 3.195 1.665 Te
0.000 3.195 6.077 Te
1.907 0.000 2.206 Te
1.907 0.000 5.536 Te

---

PBE Ti3PtO, relaxed; total energy = -40.29 eV/f.u.; formation energy without anion corrections = -5.6 eV/f.u.; spin magnetization = 0.00 μB/f.u.
1.0
3.683 0.000 0.000
-1.842 3.190 0.000
0.000 0.000 13.510
Ti Pt O
6 2 2
Cartesian
0.000 0.000 3.378 Ti
0.000 0.000 10.133 Ti
0.000 2.126 1.391 Ti
0.000 2.126 5.364 Ti
1.842 1.063 8.146 Ti
1.842 1.063 12.119 Ti
0.000 0.000 0.000 Pt
0.000 0.000 6.755 Pt
0.000 2.126 3.378 O
1.842 1.063 10.133 O

---

PBE ScCu2Ni, relaxed; total energy = -21.28 eV/f.u.; energy of formation = -0.2442 eV/atom; spin magnetization = 0.00 μB/f.u.
1.0
3.783 0.000 0.000
0.000 3.783 0.000
0.000 0.000 7.663
Sc Cu Ni
2 4 2
Cartesian
0.000 0.000 0.000 Sc
1.891 1.891 3.831 Sc
0.000 0.000 3.831 Cu
0.000 1.891 1.916 Cu
1.891 0.000 5.747 Cu
1.891 1.891 0.000 Cu
0.000 1.891 5.747 Ni
1.891 0.000 1.916 Ni

---

PBE LaGaPd3, relaxed; total energy = -27.24 eV/f.u.; energy of formation = -0.7411 eV/atom; energy relative to the lowest polymorph listed for this composition = 0.0000 eV per atom; spin magnetization = 0.00 μB/f.u.
1.0
-2.781 4.298 4.252
2.781 -4.298 4.252
2.781 4.298 -4.252
La Ga Pd
2 2 6
Cartesian
0.000 2.149 0.235 La
2.781 2.149 4.017 La
2.781 0.000 0.000 Ga
0.000 0.000 4.252 Ga
2.781 2.149 -1.344 Pd
1.390 4.424 -2.126 Pd
1.390 0.126 2.126 Pd
-1.390 4.172 2.126 Pd
1.390 4.172 2.126 Pd
0.000 2.149 5.596 Pd

---

PBE SrTiCoP2, relaxed; total energy = -32.23 eV/f.u.; energy of formation = -0.9453 eV/atom; spin magnetization = 0.63 μB/f.u.
1.0
3.861 0.000 0.000
0.000 3.861 0.000
0.000 0.000 12.477
Sr Ti Co P
2 2 2 4
Cartesian
0.000 0.000 0.000 Sr
1.931 1.931 6.239 Sr
0.000 1.931 3.119 Ti
1.931 0.000 9.358 Ti
0.000 1.931 9.358 Co
1.931 0.000 3.119 Co
0.000 0.000 4.509 P
0.000 0.000 7.968 P
1.931 1.931 1.729 P
1.931 1.931 10.748 P

---

PBE CaEuGa, relaxed; total energy = -15.96 eV/f.u.; energy of formation = -0.2187 eV/atom; energy relative to the lowest polymorph listed for this composition = 0.1109 eV per atom; spin magnetization = 7.36 μB/f.u.
1.0
7.407 0.000 0.000
0.000 7.407 0.000
0.000 0.000 7.407
Ca Eu Ga
4 4 4
Cartesian
0.000 0.000 0.000 Ca
0.000 3.703 3.703 Ca
3.703 0.000 3.703 Ca
3.703 3.703 0.000 Ca
0.000 0.000 3.703 Eu
0.000 3.703 0.000 Eu
3.703 0.000 0.000 Eu
3.703 3.703 3.703 Eu
1.852 1.852 5.555 Ga
1.852 5.555 1.852 Ga
5.555 1.852 1.852 Ga
5.555 5.555 5.555 Ga

---

PBE PrErIO6, relaxed; total energy = -58.95 eV/f.u.; formation energy without anion corrections = -18.3 eV/f.u.; spin magnetization = 0.32 μB/f.u.
1.0
5.633 0.000 0.000
-2.816 4.878 0.000
0.000 0.000 10.036
Pr Er I O
2 2 2 12
Cartesian
0.000 0.000 0.000 Pr
0.000 0.000 5.018 Pr
0.000 3.252 2.509 Er
2.816 1.626 7.527 Er
0.000 3.252 7.527 I
2.816 1.626 2.509 I
-0.869 1.813 6.409 O
-1.681 3.219 8.645 O
0.869 1.813 8.645 O
-0.812 4.724 6.409 O
2.004 0.154 1.391 O
1.136 1.659 3.627 O
1.681 3.219 6.409 O
0.812 4.724 8.645 O
3.628 0.154 3.627 O
1.948 3.065 1.391 O
4.497 1.659 1.391 O
3.685 3.065 3.627 O

---

PBE LaRe3B, relaxed; total energy = -29.18 eV/f.u.; energy of formation = 3.9539 eV/atom; energy relative to the lowest polymorph listed for this composition = 3.5149 eV per atom; spin magnetization = 3.19 μB/f.u.
1.0
4.858 0.000 0.000
0.000 4.858 0.000
0.000 0.000 4.858
La Re B
1 3 1
Cartesian
0.000 0.000 0.000 La
0.000 0.000 2.429 Re
0.000 2.429 0.000 Re
2.429 0.000 0.000 Re
2.429 2.429 2.429 B

---

PBE KBa2H6Pd, relaxed; total energy = -33.14 eV/f.u.; spin magnetization = 0.00 μB/f.u.
1.0
5.633 0.000 0.000
-2.816 4.878 0.000
0.000 0.000 6.980
K Ba H Pd
1 2 6 1
Cartesian
0.000 0.000 0.000 K
0.000 3.252 2.377 Ba
2.816 1.626 4.603 Ba
0.000 1.467 4.496 H
-1.546 4.144 4.496 H
1.270 0.733 2.484 H
1.546 4.144 4.496 H
4.362 0.733 2.484 H
2.816 3.411 2.484 H
0.000 0.000 3.490 Pd

---

PBE AgN2Cl, relaxed; total energy = -15.29 eV/f.u.; formation energy without anion corrections = 6.1 eV/f.u.; energy relative to the lowest polymorph listed for this composition = 1.7054 eV per atom; spin magnetization = 0.00 μB/f.u.
1.0
3.407 0.000 0.000
-1.704 2.951 0.000
0.000 0.000 17.066
Ag N Cl
3 6 3
Cartesian
0.000 0.000 0.000 Ag
0.000 1.967 11.377 Ag
1.704 0.984 5.689 Ag
0.000 0.000 6.655 N
0.000 0.000 10.411 N
0.000 1.967 0.966 N
0.000 1.967 4.722 N
1.704 0.984 12.343 N
1.704 0.984 16.100 N
0.000 0.000 8.533 Cl
0.000 1.967 2.844 Cl
1.704 0.984 14.222 Cl

---

> Which formula does entry 2 have?

HfThRh2

---

> The highest spin magnetization belongs to which entry?

CaEuGa

---

> Which of these has the lowest total energy?

PrErIO6